The following is a DFT calculation (PBE-GGA) of an optimized crystal structure of TeRhSe2.

a = 6.5436 Å, b = 6.5436 Å, c = 6.5436 Å
α = 147.58°, β = 138.75°, γ = 53.42°
Closest atoms and distances in Å follow each position.
Atoms (fractional coordinates):
Te (0.0000, 0.0000, 0.0000)  4 Se 2.90, 4 Rh 2.94
Rh (0.5000, 0.5000, 0.0000)  4 Se 2.54
Se (0.3489, 0.8489, 0.5000)  2 Rh 2.54
Se (0.6511, 0.1511, 0.5000)  2 Rh 2.54

Results
size of the total moment = 0.000 μB per atom
electronic total energy = -4.44 eV per atom
E_form (uncorrected) = -0.078 eV/atom
space-group type = No. 71

The following is a DFT calculation (PBE-GGA) of an optimized crystal structure of MgSc2Pt.

a = 6.2956 Å, b = 6.2956 Å, c = 6.2956 Å
α = 102.13°, β = 102.13°, γ = 125.43°
Closest atoms and distances in Å follow each position.
Atoms (fractional coordinates):
Mg (0.0000, 0.0000, 0.0000)  2 Pt 2.89, 4 Sc 3.22
Mg (0.7500, 0.2500, 0.5000)  2 Pt 2.89, 4 Sc 3.22
Sc (0.1830, 0.1250, 0.5580)  2 Pt 2.60
Sc (0.3750, 0.8170, 0.9420)  2 Pt 2.60
Sc (0.5670, 0.6250, 0.4420)  2 Pt 2.60
Sc (0.8750, 0.4330, 0.0580)  2 Pt 2.60
Pt (0.2500, 0.7500, 0.5000)  4 Sc 2.60, 2 Mg 2.89
Pt (0.5000, 0.5000, 0.0000)  4 Sc 2.60, 2 Mg 2.89

Results
size of the total moment = 0.020 μB per atom
electronic total energy = -5.44 eV per atom
formation enthalpy at 0 K = -0.369 eV per atom
space-group type = No. 122

The following is a DFT calculation (PBE-GGA) of an optimized crystal structure of Ni2RhCl.

a = 2.8039 Å, b = 2.8039 Å, c = 8.1442 Å
α = 90.00°, β = 90.00°, γ = 120.23°
Closest atoms and distances in Å follow each position.
Atoms (fractional coordinates):
Ni (0.0000, 0.0000, 0.0000)  2 Ni 2.41, 2 Rh 2.49
Ni (0.5000, 0.5000, 0.2407)  2 Cl 2.33, 2 Ni 2.41
Rh (0.5000, 0.5000, 0.7462)  2 Ni 2.49, 2 Cl 2.65, 2 Rh 2.79
Cl (0.0000, 0.0000, 0.4693)  2 Ni 2.33

Results
size of the total moment = 0.428 μB per atom
electronic total energy = -4.73 eV per atom
E_form (uncorrected) = 0.456 eV/atom
excess energy over the best structure of this formula in the dataset = 254 meV/atom
space-group type = No. 35

The following is a DFT calculation (PBE-GGA) of an optimized crystal structure of La2ReBr.

a = 3.5866 Å, b = 3.5866 Å, c = 8.4237 Å
α = 90.00°, β = 90.00°, γ = 98.80°
Closest atoms and distances in Å follow each position.
Atoms (fractional coordinates):
La (0.0000, 0.0000, 0.2076)  4 Re 2.92-3.24
La (0.0000, 0.0000, 0.7924)  4 Re 2.92-3.24
Re (0.5000, 0.5000, 0.0000)  8 La 2.92-3.24
Br (0.5000, 0.5000, 0.5000)  8 La 3.39-3.67, 4 Br 3.59

Results
size of the total moment = 0.000 μB per atom
electronic total energy = -6.51 eV per atom
E_form (uncorrected) = -0.518 eV/atom
excess energy over the best structure of this formula in the dataset = 0 meV/atom
space-group type = No. 65

> Look up the size of the total moment of the fourth one.

0.000 μB per atom

> Look up the electronic total energy of the second one.

-5.44 eV per atom

> What is the formula in the first record?

TeRhSe2

> electronic total energy of number 1 (TeRhSe2)?

-4.44 eV per atom